# 1
Ca2Al2FeSi3HO13 PBEsol relaxed; space group = P2_1/m (11); final energy = -7.70 eV/atom; total magnetic moment = 5.037 μB per formula unit; crystal system = monoclinic; density of states at the Fermi level = 0.028 states/eV per atom
1.0
8.9253 0.0000 0.0000
0.0000 5.6689 0.0000
-4.3601 0.0000 9.1363
Ca Al Fe Si H O
4 4 2 6 2 26
direct
0.1104 0.2500 0.4269 Ca
0.2486 0.2500 0.1464 Ca
0.7514 0.7500 0.8536 Ca
0.8896 0.7500 0.5731 Ca
0.5000 0.0000 0.0000 Al
0.5000 0.0000 0.5000 Al
0.5000 0.5000 0.0000 Al
0.5000 0.5000 0.5000 Al
0.2050 0.2500 0.7710 Fe
0.7950 0.7500 0.2290 Fe
0.1617 0.7500 0.9516 Si
0.1848 0.7500 0.2738 Si
0.3159 0.7500 0.6801 Si
0.6841 0.2500 0.3199 Si
0.8152 0.2500 0.7262 Si
0.8383 0.2500 0.0484 Si
0.4441 0.2500 0.6784 H
0.5559 0.7500 0.3216 H
0.0140 0.2500 0.1859 O
0.0274 0.7500 0.3123 O
0.1172 0.7500 0.0945 O
0.1941 0.5186 0.6404 O
0.1941 0.9814 0.6404 O
0.2692 0.5064 0.9629 O
0.2692 0.9936 0.9629 O
0.2959 0.5121 0.3365 O
0.2959 0.9879 0.3365 O
0.4165 0.2500 0.5720 O
0.4320 0.7500 0.5901 O
0.4470 0.2500 0.8685 O
0.4575 0.7500 0.8546 O
0.5425 0.2500 0.1454 O
0.5530 0.7500 0.1315 O
0.5680 0.2500 0.4099 O
0.5835 0.7500 0.4280 O
0.7041 0.0121 0.6635 O
0.7041 0.4879 0.6635 O
0.7308 0.0064 0.0371 O
0.7308 0.4936 0.0371 O
0.8059 0.0186 0.3596 O
0.8059 0.4814 0.3596 O
0.8828 0.2500 0.9055 O
0.9726 0.2500 0.6877 O
0.9860 0.7500 0.8141 O

---

# 2
Ca2AlFeMo PBEsol relaxed; space group = P4/mmm (123); total magnetic moment = 5.234 μB per formula unit; crystal system = tetragonal; density of states at the Fermi level = 0.832 states/eV per atom; energy of formation = 1.062 eV per atom
1.0
5.0355 0.0000 0.0000
0.0000 5.0355 0.0000
0.0000 0.0000 4.6461
Ca Al Fe Mo
2 1 1 1
direct
0.0000 0.5000 0.0000 Ca
0.5000 0.0000 0.0000 Ca
0.0000 0.0000 0.5000 Al
0.0000 0.0000 0.0000 Fe
0.5000 0.5000 0.5000 Mo

---

# 3
Na5CaAl5FeSi12O36 PBEsol relaxed; space group = C2 (5); formation energy from raw total energies = -2736.8 meV/atom; total magnetic moment = 4.000 μB per formula unit; crystal system = monoclinic; density of states at the Fermi level = 0.112 states/eV per atom
1.0
4.7522 -4.3171 0.0000
4.7522 4.3171 0.0000
-4.6584 0.0000 15.0580
Na Ca Al Fe Si O
5 1 5 1 12 36
direct
0.0000 0.0000 0.0000 Na
0.0015 0.0028 0.3329 Na
0.5985 0.3948 0.1646 Na
0.6052 0.4015 0.8354 Na
0.9972 0.9985 0.6671 Na
0.6004 0.3996 0.5000 Ca
0.2052 0.7908 0.1648 Al
0.2092 0.7948 0.8352 Al
0.3855 0.6059 0.3292 Al
0.3941 0.6145 0.6708 Al
0.3947 0.6053 0.0000 Al
0.1936 0.8064 0.5000 Fe
0.1014 0.3112 0.1737 Si
0.1055 0.3281 0.5074 Si
0.1077 0.3163 0.8428 Si
0.4954 0.0779 0.3230 Si
0.4964 0.0833 0.9915 Si
0.4955 0.0897 0.6634 Si
0.6719 0.8945 0.4926 Si
0.6837 0.8923 0.1572 Si
0.6888 0.8986 0.8263 Si
0.9103 0.5045 0.3366 Si
0.9167 0.5036 0.0085 Si
0.9221 0.5046 0.6770 Si
0.1072 0.6623 0.3611 O
0.1166 0.6655 0.0403 O
0.1179 0.6690 0.7101 O
0.2042 0.0723 0.1511 O
0.2058 0.0757 0.8220 O
0.2098 0.0961 0.4778 O
0.2644 0.5102 0.2051 O
0.2698 0.5163 0.8750 O
0.2806 0.5115 0.5472 O
0.3310 0.8821 0.2899 O
0.3345 0.8834 0.9597 O
0.3377 0.8928 0.6389 O
0.3973 0.3238 0.0135 O
0.4032 0.3321 0.6884 O
0.4048 0.3223 0.3489 O
0.4837 0.7302 0.1250 O
0.4885 0.7194 0.4528 O
0.4898 0.7356 0.7949 O
0.6255 0.0734 0.5815 O
0.6477 0.0550 0.2506 O
0.6486 0.0627 0.9184 O
0.6576 0.0450 0.4181 O
0.6592 0.0452 0.0842 O
0.6679 0.5968 0.3116 O
0.6763 0.0464 0.7520 O
0.6762 0.6027 0.9865 O
0.6777 0.5952 0.6511 O
0.9039 0.7902 0.5222 O
0.9243 0.7942 0.1780 O
0.9266 0.3745 0.4185 O
0.9277 0.7958 0.8489 O
0.9373 0.3514 0.0816 O
0.9450 0.3523 0.7494 O
0.9536 0.3237 0.2480 O
0.9548 0.3408 0.9158 O
0.9550 0.3424 0.5819 O

---

# 4
Ca3AlFeSi3O12 PBEsol relaxed; space group = Ia-3 (206); formation energy from raw total energies = -2812.4 meV/atom; total magnetic moment = 1.000 μB per formula unit; crystal system = cubic; density of states at the Fermi level = 0.467 states/eV per atom
1.0
-5.9277 5.9277 5.9277
5.9277 -5.9277 5.9277
5.9277 5.9277 -5.9277
Ca Al Fe Si O
12 4 4 12 48
direct
0.1223 0.3723 0.7500 Ca
0.1277 0.2500 0.3777 Ca
0.2500 0.3777 0.1277 Ca
0.2500 0.8777 0.6277 Ca
0.3723 0.7500 0.1223 Ca
0.3777 0.1277 0.2500 Ca
0.6223 0.8723 0.7500 Ca
0.6277 0.2500 0.8777 Ca
0.7500 0.1223 0.3723 Ca
0.7500 0.6223 0.8723 Ca
0.8723 0.7500 0.6223 Ca
0.8777 0.6277 0.2500 Ca
0.0000 0.0000 0.0000 Al
0.0000 0.5000 0.5000 Al
0.5000 0.0000 0.5000 Al
0.5000 0.5000 0.0000 Al
0.0000 0.0000 0.5000 Fe
0.0000 0.5000 0.0000 Fe
0.5000 0.0000 0.0000 Fe
0.5000 0.5000 0.5000 Fe
0.1220 0.7500 0.8720 Si
0.1280 0.8780 0.2500 Si
0.2500 0.1280 0.8780 Si
0.2500 0.6280 0.3780 Si
0.3720 0.6220 0.7500 Si
0.3780 0.2500 0.6280 Si
0.6220 0.7500 0.3720 Si
0.6280 0.3780 0.2500 Si
0.7500 0.3720 0.6220 Si
0.7500 0.8720 0.1220 Si
0.8720 0.1220 0.7500 Si
0.8780 0.2500 0.1280 Si
0.0069 0.3082 0.8952 O
0.0099 0.1965 0.1151 O
0.0814 0.6965 0.6866 O
0.0870 0.8883 0.3952 O
0.1052 0.6151 0.4186 O
0.1048 0.9931 0.6918 O
0.1117 0.6048 0.9130 O
0.1151 0.0099 0.1965 O
0.1866 0.4901 0.6052 O
0.1918 0.1987 0.5870 O
0.1965 0.1151 0.0099 O
0.1987 0.5870 0.1918 O
0.3013 0.4931 0.3883 O
0.3035 0.3134 0.9186 O
0.3082 0.8952 0.0069 O
0.3134 0.9186 0.3035 O
0.3849 0.5814 0.8948 O
0.3883 0.3013 0.4931 O
0.3952 0.0870 0.8883 O
0.3948 0.8134 0.5099 O
0.4130 0.8082 0.8013 O
0.4186 0.1052 0.6151 O
0.4901 0.6052 0.1866 O
0.4931 0.3883 0.3013 O
0.5069 0.6117 0.6987 O
0.5099 0.3948 0.8134 O
0.5814 0.8948 0.3849 O
0.5870 0.1918 0.1987 O
0.6052 0.1866 0.4901 O
0.6048 0.9130 0.1117 O
0.6117 0.6987 0.5069 O
0.6151 0.4186 0.1052 O
0.6866 0.0814 0.6965 O
0.6918 0.1048 0.9931 O
0.6965 0.6866 0.0814 O
0.6987 0.5069 0.6117 O
0.8013 0.4130 0.8082 O
0.8035 0.8849 0.9901 O
0.8082 0.8013 0.4130 O
0.8134 0.5099 0.3948 O
0.8849 0.9901 0.8035 O
0.8883 0.3952 0.0870 O
0.8952 0.0069 0.3082 O
0.8948 0.3849 0.5814 O
0.9130 0.1117 0.6048 O
0.9186 0.3035 0.3134 O
0.9901 0.8035 0.8849 O
0.9931 0.6918 0.1048 O